(1)
DFT (PBE) results for a relaxed structure of SrTc4Os.

The structure belongs to space group F-43m (No. 216); the cell edges are 7.444, 7.444 and 7.444 Å and the angles 90.00°, 90.00° and 90.00°. Symmetry generates all atoms from Sr at (0.000, 0.000, 0.000), Tc at (0.125, 0.125, 0.625) and Os at (0.250, 0.250, 0.250).

The calculation puts the volume at 103.1 Å³/f.u. Its final energy is -200.8 eV per cell. As for the formation energy: 0.69 eV/atom.

(2)
DFT (PBE) results for a relaxed structure of Fe2SbOs.

The structure belongs to space group I-42d (No. 122); the cell edges are 5.334, 5.334 and 11.349 Å and the angles 90.00°, 90.00° and 90.00°. Symmetry generates all atoms from Fe at (0.212, 0.250, 0.125), Sb at (0.000, 0.000, 0.500) and Os at (0.000, 0.000, 0.000).

The calculation puts the volume at 80.7 Å³/f.u. Its final energy is -113.1 eV per cell. Its uncorrected formation energy is 4.014 eV per formula unit.